# 1
! LiTlPC GGA-PBE relaxed; values from VASP
&SYSTEM
  ibrav = 0, nat = 4, ntyp = 4
/
ATOMIC_SPECIES
Li 6.94 Li.upf
Tl 204.38 Tl.upf
P 30.97 P.upf
C 12.01 C.upf
ATOMIC_POSITIONS crystal
Li 0.0000 0.0000 0.0000
Tl 0.2870 0.2870 0.1136
P 0.5616 0.5616 0.5304
C 0.1347 0.1347 0.4734
CELL_PARAMETERS angstrom
6.1209 -1.5017 0.0000
6.1209 1.5017 0.0000
-0.4662 0.0000 3.9002
! - crystal system = monoclinic
! - space-group type = Cm
! - distance to the lowest polymorph of the same formula (meV per atom) = 43

# 2
! LiTlPC GGA-PBE relaxed; values from VASP
&SYSTEM
  ibrav = 0, nat = 4, ntyp = 4
/
ATOMIC_SPECIES
Li 6.94 Li.upf
Tl 204.38 Tl.upf
P 30.97 P.upf
C 12.01 C.upf
ATOMIC_POSITIONS crystal
Li 0.0000 0.0000 0.0000
Tl 0.3333 0.6667 0.3226
P 0.3333 0.6667 0.6978
C 0.6667 0.3333 0.7960
CELL_PARAMETERS angstrom
3.0630 0.0000 0.0000
-1.5315 2.6526 0.0000
0.0000 0.0000 7.5133
! - crystal system = trigonal
! - space-group type = P3m1
! - distance to the lowest polymorph of the same formula (meV per atom) = 0

# 3
! LiPW2C GGA-PBE relaxed; values from VASP
&SYSTEM
  ibrav = 0, nat = 5, ntyp = 4
/
ATOMIC_SPECIES
Li 6.94 Li.upf
P 30.97 P.upf
W 183.84 W.upf
C 12.01 C.upf
ATOMIC_POSITIONS crystal
Li 0.0000 0.0000 0.0000
P 0.5000 0.5000 0.0000
W 0.0000 0.5000 0.5000
W 0.5000 0.0000 0.5000
C 0.0000 0.0000 0.5000
CELL_PARAMETERS angstrom
4.1824 0.0000 0.0000
0.0000 4.1824 0.0000
0.0000 0.0000 3.5239
! - crystal system = tetragonal
! - uncorrected energy (eV per cell) = -41.11
! - space-group type = P4/mmm

# 4
! LiPaC GGA-PBE relaxed; values from VASP
&SYSTEM
  ibrav = 0, nat = 3, ntyp = 3
/
ATOMIC_SPECIES
Li 6.94 Li.upf
Pa 231.04 Pa.upf
C 12.01 C.upf
ATOMIC_POSITIONS crystal
Li 0.0000 0.0000 0.0000
Pa 0.5000 0.5000 0.5000
C 0.0000 0.0000 0.5000
CELL_PARAMETERS angstrom
3.4527 0.0000 0.0000
0.0000 3.4527 0.0000
0.0000 0.0000 4.2955
! - crystal system = tetragonal
! - space-group type = P4/mmm
! - distance to the lowest polymorph of the same formula (meV per atom) = 0

# 5
! LiPaC GGA-PBE relaxed; values from VASP
&SYSTEM
  ibrav = 0, nat = 3, ntyp = 3
/
ATOMIC_SPECIES
Li 6.94 Li.upf
Pa 231.04 Pa.upf
C 12.01 C.upf
ATOMIC_POSITIONS crystal
Li 0.0000 0.0000 0.0000
Pa 0.3540 0.3540 0.0000
C 0.7031 0.7031 0.0000
CELL_PARAMETERS angstrom
-1.7891 1.7891 3.3857
1.7891 -1.7891 3.3857
1.7891 1.7891 -3.3857
! - crystal system = tetragonal
! - space-group type = I4mm
! - distance to the lowest polymorph of the same formula (meV per atom) = 702

# 6
! LiPaCS GGA-PBE relaxed; values from VASP
&SYSTEM
  ibrav = 0, nat = 8, ntyp = 4
/
ATOMIC_SPECIES
Li 6.94 Li.upf
Pa 231.04 Pa.upf
C 12.01 C.upf
S 32.06 S.upf
ATOMIC_POSITIONS crystal
Li 0.1961 0.1961 0.1961
Li 0.8039 0.8039 0.8039
Pa 0.3811 0.3811 0.3811
Pa 0.6189 0.6189 0.6189
C 0.3034 0.3034 0.3034
C 0.6966 0.6966 0.6966
S 0.1121 0.1121 0.1121
S 0.8879 0.8879 0.8879
CELL_PARAMETERS angstrom
1.9772 1.1415 9.9859
-1.9772 1.1415 9.9859
0.0000 -2.2831 9.9859
! - crystal system = trigonal
! - formation energy (no corrections) (kJ/mol of formula units) = -397
! - space-group type = R-3m

Number 1: ρ 5.9 g/cm³, V 17.93 A^3/atom. Number 2: ρ 6.9 g/cm³, V 15.26 A^3/atom. Number 3: ρ 11.2 g/cm³, V 12.33 A^3/atom. Number 4: ρ 8.1 g/cm³, V 17.07 A^3/atom. Number 5: ρ 9.6 g/cm³, V 14.45 A^3/atom. Number 6: ρ 6.9 g/cm³, V 16.90 A^3/atom.